Computed, not measured: an optimized crystal structure of Sm4Cu2Rh at the GGA-PBE level of DFT.

Unit cell a=8.596 b=8.596 c=8.596 alpha=33.66 beta=33.66 gamma=33.66
Sites, in units of the cell vectors:
Sm: 0.123 0.123 0.123
Sm: 0.374 0.374 0.374
Sm: 0.626 0.626 0.626
Sm: 0.877 0.877 0.877
Cu: 0.247 0.247 0.247
Cu: 0.753 0.753 0.753
Rh: 0.000 0.000 0.000

Summary:
The energy relative to the elements comes out at -5.5 kcal/mol of atoms.

***

Computed, not measured: an optimized crystal structure of SmCuRh2 at the GGA-PBE level of DFT.

Unit cell a=4.580 b=4.580 c=4.580 alpha=60.00 beta=60.00 gamma=60.00
Sites, in units of the cell vectors:
Sm: 0.000 0.000 0.000
Cu: 0.500 0.500 0.500
Rh: 0.250 0.250 0.250
Rh: 0.750 0.750 0.750

Summary:
The energy above the most stable polymorph in this dataset comes out at 0.0556 eV/atom. The energy relative to the elements comes out at -7.1 kcal/mol of atoms.

***

Computed, not measured: an optimized crystal structure of Sm2Cu2Rh at the GGA-PBE level of DFT.

Unit cell a=7.134 b=7.134 c=7.976 alpha=90.00 beta=90.00 gamma=90.00
Sites, in units of the cell vectors:
Sm: 0.180 0.312 0.000
Sm: 0.188 0.320 0.500
Sm: 0.312 0.820 0.000
Sm: 0.320 0.812 0.500
Sm: 0.680 0.188 0.500
Sm: 0.688 0.180 0.000
Sm: 0.812 0.680 0.500
Sm: 0.820 0.688 0.000
Cu: 0.120 0.620 0.250
Cu: 0.120 0.620 0.750
Cu: 0.380 0.120 0.250
Cu: 0.380 0.120 0.750
Cu: 0.620 0.880 0.250
Cu: 0.620 0.880 0.750
Cu: 0.880 0.380 0.250
Cu: 0.880 0.380 0.750
Rh: 0.000 0.000 0.218
Rh: 0.000 0.000 0.782
Rh: 0.500 0.500 0.282
Rh: 0.500 0.500 0.718

Summary:
The energy above the most stable polymorph in this dataset comes out at 0.1071 eV/atom. The energy relative to the elements comes out at -6.6 kcal/mol of atoms.

***

Computed, not measured: an optimized crystal structure of Sm4Cu3Rh at the GGA-PBE level of DFT.

Unit cell a=3.850 b=4.478 c=10.623 alpha=90.00 beta=90.00 gamma=90.00
Sites, in units of the cell vectors:
Sm: 0.000 0.000 0.000
Sm: 0.000 0.500 0.271
Sm: 0.500 0.000 0.488
Sm: 0.500 0.500 0.775
Cu: 0.000 0.000 0.701
Cu: 0.000 0.500 0.565
Cu: 0.500 0.500 0.060
Rh: 0.500 0.000 0.215

Summary:
The energy relative to the elements comes out at -8.4 kcal/mol of atoms.

***

Computed, not measured: an optimized crystal structure of Sm4CuRh at the GGA-PBE level of DFT.

Unit cell a=7.910 b=7.910 c=7.910 alpha=106.13 beta=106.13 gamma=116.39
Sites, in units of the cell vectors:
Sm: 0.185 0.486 0.700
Sm: 0.236 0.036 0.800
Sm: 0.236 0.435 0.200
Sm: 0.299 0.000 0.299
Sm: 0.701 0.000 0.701
Sm: 0.750 0.549 0.799
Sm: 0.750 0.951 0.201
Sm: 0.786 0.486 0.300
Cu: 0.239 0.739 0.500
Cu: 0.489 0.489 0.000
Rh: 0.743 0.243 0.500
Rh: 0.993 0.993 0.000

Summary:
The energy above the most stable polymorph in this dataset comes out at 0.1521 eV/atom. The energy relative to the elements comes out at -4.0 kcal/mol of atoms.

***

Computed, not measured: an optimized crystal structure of Sm5CuRh2 at the GGA-PBE level of DFT.

Unit cell a=8.679 b=8.679 c=8.679 alpha=126.35 beta=126.35 gamma=79.31
Sites, in units of the cell vectors:
Sm: 0.000 0.000 0.000
Sm: 0.024 0.524 0.827
Sm: 0.197 0.024 0.500
Sm: 0.303 0.803 0.827
Sm: 0.476 0.303 0.500
Sm: 0.500 0.500 0.000
Sm: 0.524 0.697 0.500
Sm: 0.697 0.197 0.173
Sm: 0.803 0.976 0.500
Sm: 0.976 0.476 0.173
Cu: 0.250 0.250 0.000
Cu: 0.750 0.750 0.000
Rh: 0.136 0.364 0.500
Rh: 0.364 0.864 0.229
Rh: 0.636 0.136 0.771
Rh: 0.864 0.636 0.500

Summary:
The energy relative to the elements comes out at -10.3 kcal/mol of atoms.

***

Computed, not measured: an optimized crystal structure of SmCu2Rh at the GGA-PBE level of DFT.

Unit cell a=4.020 b=4.020 c=4.162 alpha=90.00 beta=90.00 gamma=90.00
Sites, in units of the cell vectors:
Sm: 0.000 0.000 0.000
Cu: 0.000 0.500 0.500
Cu: 0.500 0.000 0.500
Rh: 0.500 0.500 0.000

Summary:
The energy above the most stable polymorph in this dataset comes out at 0.0007 eV/atom. The energy relative to the elements comes out at -5.8 kcal/mol of atoms.

***

Computed, not measured: an optimized crystal structure of Sm2Cu2SnRh5 at the GGA-PBE level of DFT.

Unit cell a=9.457 b=9.457 c=3.861 alpha=90.00 beta=90.00 gamma=90.00
Sites, in units of the cell vectors:
Sm: 0.175 0.325 0.000
Sm: 0.325 0.825 0.000
Sm: 0.675 0.175 0.000
Sm: 0.825 0.675 0.000
Cu: 0.121 0.621 0.000
Cu: 0.379 0.121 0.000
Cu: 0.621 0.879 0.000
Cu: 0.879 0.379 0.000
Sn: 0.000 0.000 0.000
Sn: 0.500 0.500 0.000
Rh: 0.000 0.500 0.500
Rh: 0.069 0.791 0.500
Rh: 0.209 0.069 0.500
Rh: 0.291 0.569 0.500
Rh: 0.431 0.291 0.500
Rh: 0.500 0.000 0.500
Rh: 0.569 0.709 0.500
Rh: 0.709 0.431 0.500
Rh: 0.791 0.931 0.500
Rh: 0.931 0.209 0.500

Summary:
The energy relative to the elements comes out at -11.7 kcal/mol of atoms.

***

Computed, not measured: an optimized crystal structure of Sm2CuSn2Rh5 at the GGA-PBE level of DFT.

Unit cell a=10.235 b=10.235 c=3.618 alpha=90.00 beta=90.00 gamma=90.00
Sites, in units of the cell vectors:
Sm: 0.169 0.331 0.000
Sm: 0.331 0.831 0.000
Sm: 0.669 0.169 0.000
Sm: 0.831 0.669 0.000
Cu: 0.000 0.000 0.000
Cu: 0.500 0.500 0.000
Sn: 0.132 0.632 0.000
Sn: 0.368 0.132 0.000
Sn: 0.632 0.868 0.000
Sn: 0.868 0.368 0.000
Rh: 0.000 0.500 0.500
Rh: 0.053 0.806 0.500
Rh: 0.194 0.053 0.500
Rh: 0.306 0.553 0.500
Rh: 0.447 0.306 0.500
Rh: 0.500 0.000 0.500
Rh: 0.553 0.694 0.500
Rh: 0.694 0.447 0.500
Rh: 0.806 0.947 0.500
Rh: 0.947 0.194 0.500

Summary:
The energy relative to the elements comes out at -9.3 kcal/mol of atoms.

***

Computed, not measured: an optimized crystal structure of Sm2CuSn3Rh4 at the GGA-PBE level of DFT.

Unit cell a=4.241 b=4.241 c=11.461 alpha=90.00 beta=90.00 gamma=90.00
Sites, in units of the cell vectors:
Sm: 0.000 0.500 0.232
Sm: 0.500 0.000 0.768
Cu: 0.500 0.500 0.000
Sn: 0.000 0.000 0.000
Sn: 0.000 0.500 0.633
Sn: 0.500 0.000 0.367
Rh: 0.000 0.000 0.500
Rh: 0.000 0.500 0.861
Rh: 0.500 0.000 0.139
Rh: 0.500 0.500 0.500

Summary:
The energy relative to the elements comes out at -14.0 kcal/mol of atoms.

***

Computed, not measured: an optimized crystal structure of SrSmCuRh at the GGA-PBE level of DFT.

Unit cell a=5.074 b=5.074 c=5.074 alpha=60.00 beta=60.00 gamma=60.00
Sites, in units of the cell vectors:
Sr: 0.000 0.000 0.000
Sm: 0.500 0.500 0.500
Cu: 0.750 0.750 0.750
Rh: 0.250 0.250 0.250

Summary:
The energy relative to the elements comes out at -5.5 kcal/mol of atoms.

***

Computed, not measured: an optimized crystal structure of Tb2Sm2CuRh4 at the GGA-PBE level of DFT.

Unit cell a=6.321 b=6.321 c=6.321 alpha=115.04 beta=115.04 gamma=98.83
Sites, in units of the cell vectors:
Tb: 0.250 0.750 0.500
Tb: 0.750 0.250 0.500
Sm: 0.196 0.196 0.000
Sm: 0.804 0.804 0.000
Cu: 0.500 0.500 0.000
Rh: 0.240 0.240 0.481
Rh: 0.240 0.760 0.000
Rh: 0.760 0.240 0.000
Rh: 0.760 0.760 0.519

Summary:
The energy relative to the elements comes out at -9.1 kcal/mol of atoms.

***

Computed, not measured: an optimized crystal structure of TbSmCuRh at the GGA-PBE level of DFT.

Unit cell a=4.945 b=4.945 c=4.945 alpha=60.00 beta=60.00 gamma=60.00
Sites, in units of the cell vectors:
Tb: 0.000 0.000 0.000
Sm: 0.500 0.500 0.500
Cu: 0.750 0.750 0.750
Rh: 0.250 0.250 0.250

Summary:
The energy above the most stable polymorph in this dataset comes out at 0.0367 eV/atom. The energy relative to the elements comes out at -11.6 kcal/mol of atoms.

***

Computed, not measured: an optimized crystal structure of TbSmCuRh at the GGA-PBE level of DFT.

Unit cell a=4.413 b=5.585 c=5.585 alpha=40.18 beta=90.00 gamma=90.00
Sites, in units of the cell vectors:
Tb: 0.000 0.000 0.000
Sm: 0.500 0.277 0.277
Cu: 0.000 0.711 0.711
Rh: 0.500 0.555 0.555

Summary:
The energy above the most stable polymorph in this dataset comes out at 0.0000 eV/atom. The energy relative to the elements comes out at -12.4 kcal/mol of atoms.

***

Computed, not measured: an optimized crystal structure of SmThCuRh at the GGA-PBE level of DFT.

Unit cell a=5.027 b=5.027 c=5.027 alpha=60.00 beta=60.00 gamma=60.00
Sites, in units of the cell vectors:
Sm: 0.000 0.000 0.000
Th: 0.500 0.500 0.500
Cu: 0.750 0.750 0.750
Rh: 0.250 0.250 0.250

Summary:
The energy above the most stable polymorph in this dataset comes out at 0.1319 eV/atom. The energy relative to the elements comes out at -10.0 kcal/mol of atoms.

***

Computed, not measured: an optimized crystal structure of SmThCuRh at the GGA-PBE level of DFT.

Unit cell a=4.069 b=6.199 c=6.199 alpha=36.92 beta=90.00 gamma=90.00
Sites, in units of the cell vectors:
Sm: 0.000 0.000 0.000
Th: 0.500 0.728 0.728
Cu: 0.500 0.429 0.429
Rh: 0.000 0.262 0.262

Summary:
The energy above the most stable polymorph in this dataset comes out at 0.0000 eV/atom. The energy relative to the elements comes out at -13.0 kcal/mol of atoms.

***

Computed, not measured: an optimized crystal structure of SmTlCuRh at the GGA-PBE level of DFT.

Unit cell a=4.824 b=4.824 c=4.824 alpha=60.00 beta=60.00 gamma=60.00
Sites, in units of the cell vectors:
Sm: 0.000 0.000 0.000
Tl: 0.500 0.500 0.500
Cu: 0.750 0.750 0.750
Rh: 0.250 0.250 0.250

Summary:
The energy relative to the elements comes out at -5.5 kcal/mol of atoms.

***

Computed, not measured: an optimized crystal structure of SmTmCuRh at the GGA-PBE level of DFT.

Unit cell a=4.902 b=4.902 c=4.902 alpha=60.00 beta=60.00 gamma=60.00
Sites, in units of the cell vectors:
Sm: 0.000 0.000 0.000
Tm: 0.500 0.500 0.500
Cu: 0.750 0.750 0.750
Rh: 0.250 0.250 0.250

Summary:
The energy above the most stable polymorph in this dataset comes out at 0.0244 eV/atom. The energy relative to the elements comes out at -12.3 kcal/mol of atoms.

***

Computed, not measured: an optimized crystal structure of SmTmCuRh at the GGA-PBE level of DFT.

Unit cell a=4.389 b=5.544 c=5.544 alpha=39.94 beta=90.00 gamma=90.00
Sites, in units of the cell vectors:
Sm: 0.000 0.000 0.000
Tm: 0.500 0.278 0.278
Cu: 0.500 0.569 0.569
Rh: 0.000 0.725 0.725

Summary:
The energy above the most stable polymorph in this dataset comes out at 0.0000 eV/atom. The energy relative to the elements comes out at -12.9 kcal/mol of atoms.

***

Computed, not measured: an optimized crystal structure of SmYCuRh at the GGA-PBE level of DFT.

Unit cell a=4.943 b=4.943 c=4.943 alpha=60.00 beta=60.00 gamma=60.00
Sites, in units of the cell vectors:
Sm: 0.000 0.000 0.000
Y: 0.500 0.500 0.500
Cu: 0.250 0.250 0.250
Rh: 0.750 0.750 0.750

Summary:
The energy above the most stable polymorph in this dataset comes out at 0.0317 eV/atom. The energy relative to the elements comes out at -11.6 kcal/mol of atoms.